The following is a DFT calculation (PBE) of an optimized crystal structure of CeGdErAl.

Unit cell a=5.347 b=5.347 c=5.347 alpha=60.00 beta=60.00 gamma=60.00
Fractional positions:
Ce  0.000  0.000  0.000
Gd  0.500  0.500  0.500
Er  0.250  0.250  0.250
Al  0.750  0.750  0.750

Calculated values
Its symmetry is No. 216. The crystal system is cubic.

***

The following is a DFT calculation (PBE) of an optimized crystal structure of CeErAlHg.

Unit cell a=5.247 b=5.247 c=5.247 alpha=60.00 beta=60.00 gamma=60.00
Fractional positions:
Ce  0.000  0.000  0.000
Er  0.500  0.500  0.500
Al  0.250  0.250  0.250
Hg  0.750  0.750  0.750

Calculated values
Its symmetry is No. 216. The crystal system is cubic.

***

The following is a DFT calculation (PBE) of an optimized crystal structure of LiCeErAl.

Unit cell a=5.146 b=5.146 c=5.146 alpha=60.00 beta=60.00 gamma=60.00
Fractional positions:
Li  0.000  0.000  0.000
Ce  0.250  0.250  0.250
Er  0.750  0.750  0.750
Al  0.500  0.500  0.500

Calculated values
Its symmetry is No. 216. The crystal system is cubic.

***

The following is a DFT calculation (PBE) of an optimized crystal structure of CeErLuAl.

Unit cell a=5.279 b=5.279 c=5.279 alpha=60.00 beta=60.00 gamma=60.00
Fractional positions:
Ce  0.000  0.000  0.000
Er  0.500  0.500  0.500
Lu  0.750  0.750  0.750
Al  0.250  0.250  0.250

Calculated values
Its symmetry is No. 216. The crystal system is cubic.

***

The following is a DFT calculation (PBE) of an optimized crystal structure of CeErMgAl.

Unit cell a=5.209 b=5.209 c=5.209 alpha=60.00 beta=60.00 gamma=60.00
Fractional positions:
Ce  0.000  0.000  0.000
Er  0.500  0.500  0.500
Mg  0.750  0.750  0.750
Al  0.250  0.250  0.250

Calculated values
Its symmetry is No. 216. The crystal system is cubic.

***

The following is a DFT calculation (PBE) of an optimized crystal structure of CeErMnAl.

Unit cell a=5.054 b=5.054 c=5.054 alpha=60.00 beta=60.00 gamma=60.00
Fractional positions:
Ce  0.000  0.000  0.000
Er  0.500  0.500  0.500
Mn  0.250  0.250  0.250
Al  0.750  0.750  0.750

Calculated values
Its symmetry is No. 216. The crystal system is cubic.

***

| no. | formation energy from the elements (eV per atom) |
| --- | --- |
| 1 | -0.04 |
| 2 | -0.32 |
| 3 | -0.12 |
| 4 | -0.06 |
| 5 | -0.19 |
| 6 | -0.04 |